Pr11In9Ru4 (PBE, optimized geometry); space-group type = Cmmm (65); total energy = -5.18 eV/atom
1.0
7.452 -11.105 0.000
7.452 11.105 0.000
0.000 0.000 3.905
Pr In Ru
11 9 4
Cartesian
0.000 0.000 0.000
3.710 3.746 0.000
7.452 7.497 0.000
4.667 0.000 0.000
7.452 2.792 0.000
3.710 -3.746 0.000
11.194 3.746 0.000
7.452 -2.792 0.000
10.238 0.000 0.000
7.452 -7.497 0.000
11.194 -3.746 0.000
2.230 1.565 1.952
5.916 5.229 1.952
2.230 -1.565 1.952
8.989 5.229 1.952
7.452 0.000 1.952
5.916 -5.229 1.952
12.674 1.565 1.952
8.989 -5.229 1.952
12.674 -1.565 1.952
5.203 2.241 1.952
5.203 -2.241 1.952
9.701 2.241 1.952
9.701 -2.241 1.952



Li3Br (PBE, optimized geometry); space-group type = P2/m (10); total energy = -2.46 eV/atom; E_form (uncorrected) = -0.611 eV per atom
1.0
3.812 0.000 0.000
0.000 3.708 0.000
-1.709 0.000 6.238
Li Br
3 1
Cartesian
0.000 0.000 0.000
0.056 1.854 4.704
2.047 1.854 1.533
-0.855 0.000 3.119



Al2GeRh8 (PBE, optimized geometry); space-group type = Immm (71); total energy = -6.80 eV/atom
1.0
-2.054 3.361 5.748
2.054 -3.361 5.748
2.054 3.361 -5.748
Al Ge Rh
2 1 8
Cartesian
0.000 0.000 2.315
0.000 0.000 9.180
0.000 0.000 5.748
2.054 1.456 -1.765
0.000 1.258 0.000
2.054 0.000 4.111
2.054 1.456 1.765
0.000 1.905 3.983
0.000 3.361 1.637
0.000 5.465 0.000
0.000 1.905 7.512



DyH2PdO4 (PBE, optimized geometry); space-group type = I222 (23); total energy = -5.92 eV/atom
1.0
4.903 0.000 0.000
0.000 5.349 0.000
0.000 0.000 5.947
Dy H Pd O
2 4 2 8
Cartesian
0.000 0.000 0.000
2.451 2.675 2.973
0.000 2.675 1.239
0.000 2.675 4.708
2.451 0.000 1.735
2.451 0.000 4.212
0.000 0.000 2.973
2.451 2.675 0.000
0.983 1.975 4.685
0.983 3.375 1.262
1.468 0.700 1.712
1.468 4.650 4.235
3.435 0.700 4.235
3.435 4.650 1.712
3.919 1.975 1.262
3.919 3.375 4.685



Question: Which formula does entry 1 have?
Answer: Pr11In9Ru4



Repeat the third record exactly.
Al2GeRh8 (PBE, optimized geometry); space-group type = Immm (71); total energy = -6.80 eV/atom
1.0
-2.054 3.361 5.748
2.054 -3.361 5.748
2.054 3.361 -5.748
Al Ge Rh
2 1 8
Cartesian
0.000 0.000 2.315
0.000 0.000 9.180
0.000 0.000 5.748
2.054 1.456 -1.765
0.000 1.258 0.000
2.054 0.000 4.111
2.054 1.456 1.765
0.000 1.905 3.983
0.000 3.361 1.637
0.000 5.465 0.000
0.000 1.905 7.512